1.
Computed, not measured: a relaxed structure of HfCu2SbRu at the PBE-GGA level of DFT.

Lattice parameters (Å, degrees): 4.8877 4.8877 4.6805 90.00 90.00 90.00
With the nearest neighbours (Å) after each atom.
Fractional coordinates of all 5 atoms:
Hf  0.0000  0.0000  0.0000  2 Ru 2.34, 4 Cu 2.44
Cu  0.0000  0.5000  0.0000  2 Hf 2.44
Cu  0.5000  0.0000  0.0000  2 Hf 2.44
Sb  0.5000  0.5000  0.5000  8 Cu 3.38, 4 Ru 3.46
Ru  0.0000  0.0000  0.5000  2 Hf 2.34

Results
As for the space group: No. 123. Its energy is -5.186 eV/atom.


2.
Computed, not measured: a relaxed structure of Ti2SbOsF at the PBE-GGA level of DFT.

Lattice parameters (Å, degrees): 5.1171 5.1171 3.9553 90.00 90.00 90.00
With the nearest neighbours (Å) after each atom.
Fractional coordinates of all 5 atoms:
Ti  0.0000  0.5000  0.0000  2 Sb 2.56
Ti  0.5000  0.0000  0.0000  2 Sb 2.56
Sb  0.0000  0.0000  0.0000  2 F 1.98
Os  0.5000  0.5000  0.5000  8 Ti 3.23, 4 F 3.62
F  0.0000  0.0000  0.5000  2 Sb 1.98

Results
As for the space group: No. 123. Its energy is -5.870 eV/atom.


3.
Computed, not measured: a relaxed structure of Y6Tm3ThSc2 at the PBE-GGA level of DFT.

Lattice parameters (Å, degrees): 6.0539 6.0539 11.6661 94.96 94.96 119.98
With the nearest neighbours (Å) after each atom.
Fractional coordinates of all 12 atoms:
Y  0.0839  0.4168  0.7531  2 Sc 3.48, 1 Th 3.48, 6 Y 3.49-3.50, 3 Tm 3.54
Y  0.2502  0.2502  0.2469  1 Th 3.48, 2 Sc 3.48, 6 Y 3.49-3.50, 3 Tm 3.54
Y  0.4168  0.0839  0.7531  2 Sc 3.48, 1 Th 3.48, 6 Y 3.49-3.50, 3 Tm 3.54
Y  0.5832  0.9161  0.2469  2 Sc 3.48, 1 Th 3.48, 6 Y 3.49-3.50, 3 Tm 3.54
Y  0.7498  0.7498  0.7531  1 Th 3.48, 2 Sc 3.48, 6 Y 3.49-3.50, 3 Tm 3.54
Y  0.9161  0.5832  0.2469  2 Sc 3.48, 1 Th 3.48, 6 Y 3.49-3.50, 3 Tm 3.54
Tm  0.0000  0.0000  0.5000  6 Tm 3.48-3.50, 6 Y 3.54
Tm  0.3324  0.6676  0.5000  6 Tm 3.48-3.51, 6 Y 3.54
Tm  0.6676  0.3324  0.5000  6 Tm 3.48-3.51, 6 Y 3.54
Th  0.5000  0.5000  0.0000  6 Y 3.48, 6 Sc 3.49-3.50
Sc  0.1667  0.8333  0.0000  6 Y 3.48, 3 Th 3.49-3.50, 3 Sc 3.50
Sc  0.8333  0.1667  0.0000  6 Y 3.48, 3 Th 3.49-3.50, 3 Sc 3.50

Results
As for the space group: No. 12. Its formation energy from the elements is 0.048 eV/atom.


4.
Computed, not measured: a relaxed structure of TbSmAgRu at the PBE-GGA level of DFT.

Lattice parameters (Å, degrees): 3.4605 3.4605 7.6043 90.00 90.00 90.00
With the nearest neighbours (Å) after each atom.
Fractional coordinates of all 4 atoms:
Tb  0.0000  0.0000  0.0000  4 Ru 2.95, 4 Ag 3.19
Sm  0.0000  0.0000  0.4460  4 Ru 3.00, 4 Ag 3.27
Ag  0.5000  0.5000  0.7316  4 Tb 3.19, 4 Sm 3.27, 4 Ag 3.46
Ru  0.5000  0.5000  0.2176  4 Tb 2.95, 4 Sm 3.00

Results
As for the space group: No. 99. As for the offset from the most stable computed form: 0.00 kJ per mole of atoms. Its formation energy from the elements is -0.347 eV/atom.


5.
Computed, not measured: a relaxed structure of FeSbSe2 at the PBE-GGA level of DFT.

Lattice parameters (Å, degrees): 2.9588 2.9588 9.6526 90.00 90.00 90.00
With the nearest neighbours (Å) after each atom.
Fractional coordinates of all 4 atoms:
Fe  0.0000  0.0000  0.0000  4 Se 2.45
Sb  0.5000  0.5000  0.2005  4 Fe 2.85, 4 Sb 2.96
Se  0.0000  0.0000  0.5278  4 Se 2.96
Se  0.5000  0.5000  0.8679  4 Fe 2.45

Results
As for the space group: No. 99. Its energy is -4.742 eV/atom.


6.
Computed, not measured: a relaxed structure of LiSbCl2 at the PBE-GGA level of DFT.

Lattice parameters (Å, degrees): 5.2018 5.2018 3.3752 90.00 90.00 90.08
With the nearest neighbours (Å) after each atom.
Fractional coordinates of all 4 atoms:
Li  0.0000  0.0000  0.0000  8 Cl 3.10, 2 Li 3.38
Sb  0.5000  0.5000  0.0000  8 Cl 3.10, 2 Sb 3.38
Cl  0.0000  0.5000  0.5000  4 Li 3.10, 4 Sb 3.10, 2 Cl 3.38
Cl  0.5000  0.0000  0.5000  4 Sb 3.10, 4 Li 3.10, 2 Cl 3.38

Results
As for the space group: No. 65. As for the offset from the most stable computed form: 52.62 kJ per mole of atoms.